VASP calculation (PBE) on a relaxed TbCeMg2Au4 crystal.

Cell lengths 4.9774, 4.9774, 24.2262 Å; angles 90.00, 90.00, 120.00 degrees
Space group R-3m (No. 166, hexagonal axes)
Symmetry-distinct sites (fractional):
Tb 0.0000 0.0000 0.0000
Ce 0.0000 0.0000 0.5000
Mg 0.0000 0.0000 0.2509
Au 0.0000 0.0000 0.1234
Au 0.0000 0.0000 0.3726

Properties
- Density of states at the Fermi level: 1.14 states/eV/atom
- Crystal system: trigonal
- Energy of formation: -0.7157 eV per atom



VASP calculation (PBE) on a relaxed TbCeMgAu crystal.

Cell lengths 7.4515, 7.4515, 7.4515 Å; angles 90.00, 90.00, 90.00 degrees
Space group F-43m (No. 216)
Symmetry-distinct sites (fractional):
Tb 0.0000 0.0000 0.0000
Ce 0.0000 0.0000 0.5000
Mg 0.2500 0.2500 0.2500
Au 0.2500 0.2500 0.7500

Properties
- Density of states at the Fermi level: 2.45 states/eV/atom
- Crystal system: cubic
- Energy of formation: -0.2781 eV per atom



VASP calculation (PBE) on a relaxed CeMgTlAu crystal.

Cell lengths 7.2741, 7.2741, 7.2741 Å; angles 90.00, 90.00, 90.00 degrees
Space group F-43m (No. 216)
Symmetry-distinct sites (fractional):
Ce 0.0000 0.0000 0.0000
Mg 0.0000 0.0000 0.5000
Tl 0.2500 0.2500 0.2500
Au 0.2500 0.2500 0.7500

Properties
- Density of states at the Fermi level: 1.57 states/eV/atom
- Crystal system: cubic
- Energy of formation: -0.4350 eV per atom



VASP calculation (PBE) on a relaxed CeMgZnAu2 crystal.

Cell lengths 4.0946, 4.0946, 12.8655 Å; angles 90.00, 90.00, 90.00 degrees
Space group I-4m2 (No. 119)
Symmetry-distinct sites (fractional):
Ce 0.0000 0.0000 0.0000
Mg 0.0000 0.5000 0.2500
Zn 0.0000 0.5000 0.7500
Au 0.0000 0.0000 0.3907

Properties
- Density of states at the Fermi level: 1.81 states/eV/atom
- Crystal system: tetragonal
- Energy of formation: -0.5350 eV per atom



VASP calculation (PBE) on a relaxed CeMgZn5Au2 crystal.

Cell lengths 4.8690, 4.8690, 7.7707 Å; angles 90.00, 90.00, 90.00 degrees
Space group P4/mmm (No. 123)
Symmetry-distinct sites (fractional):
Ce 0.0000 0.0000 0.0000
Mg 0.0000 0.0000 0.5000
Zn 0.0000 0.5000 0.2443
Zn 0.5000 0.5000 0.0000
Au 0.5000 0.5000 0.3281

Properties
- Density of states at the Fermi level: 1.08 states/eV/atom
- Crystal system: tetragonal
- Energy of formation: -0.0711 eV per atom



VASP calculation (PBE) on a relaxed CeMgZn2Au5 crystal.

Cell lengths 4.8594, 4.8594, 7.8591 Å; angles 90.00, 90.00, 90.00 degrees
Space group P4/mmm (No. 123)
Symmetry-distinct sites (fractional):
Ce 0.0000 0.0000 0.0000
Mg 0.0000 0.0000 0.5000
Zn 0.5000 0.5000 0.3467
Au 0.0000 0.5000 0.2512
Au 0.5000 0.5000 0.0000

Properties
- Density of states at the Fermi level: 1.05 states/eV/atom
- Crystal system: tetragonal
- Energy of formation: -0.3084 eV per atom



> Which value of density of states at the Fermi level does entry 5 give?

1.08 states/eV/atom



> Number 4 is which compound?

CeMgZnAu2